Entry 1:
Computed, not measured: a relaxed structure of FeSe6Cl2 at the PBE level of DFT.

Unit cell a=4.5438 b=9.0445 c=13.1260 alpha=90.00 beta=98.55 gamma=90.00
Last column: nearest neighbours and their distance in Å.
Fractional coordinates of all 18 atoms:
Cl 0.3718 0.4772 0.1323  1 Fe 2.24
Cl 0.6282 0.9772 0.3677  1 Fe 2.24
Cl 0.3718 0.0228 0.6323  1 Fe 2.24
Cl 0.6282 0.5228 0.8677  1 Fe 2.24
Fe 0.0000 0.5000 0.0000  2 Cl 2.24
Fe 0.0000 0.0000 0.5000  2 Cl 2.24
Se 0.8280 0.2220 0.0057  2 Se 2.40, 1 Fe 2.64
Se 0.9924 0.8746 0.1442  2 Se 2.36-2.40
Se 0.1701 0.1192 0.1443  2 Se 2.36-2.40
Se 0.8299 0.6192 0.3557  2 Se 2.36-2.40
Se 0.0076 0.3746 0.3558  2 Se 2.36-2.40
Se 0.1720 0.7220 0.4943  2 Se 2.40, 1 Fe 2.64
Se 0.8280 0.2780 0.5057  2 Se 2.40, 1 Fe 2.64
Se 0.9924 0.6254 0.6442  2 Se 2.36-2.40
Se 0.1701 0.3808 0.6443  2 Se 2.36-2.40
Se 0.8299 0.8808 0.8557  2 Se 2.36-2.40
Se 0.0076 0.1254 0.8558  2 Se 2.36-2.40
Se 0.1720 0.7780 0.9943  2 Se 2.40, 1 Fe 2.64

Results
- Electronic total energy: -3.810 eV per atom
- Size of the total moment: 0.4439 μB/atom
- Volume: 533.44 Å³/cell

***

Entry 2:
Computed, not measured: a relaxed structure of FeSe2Cl2 at the PBE level of DFT.

Unit cell a=6.6711 b=6.8175 c=7.1026 alpha=84.59 beta=64.09 gamma=64.25
Last column: nearest neighbours and their distance in Å.
Fractional coordinates of all 10 atoms:
Cl 0.3352 0.1767 0.2178  2 Fe 2.40-2.46
Cl 0.6618 0.6402 0.2523  1 Fe 2.28
Cl 0.3382 0.3598 0.7477  1 Fe 2.28
Cl 0.6648 0.8233 0.7822  2 Fe 2.40-2.46
Fe 0.7649 0.8915 0.0475  3 Cl 2.28-2.46
Fe 0.2351 0.1085 0.9525  3 Cl 2.28-2.46
Se 0.1399 0.7577 0.1285  1 Se 2.27
Se 0.8545 0.1012 0.2881  1 Se 2.27
Se 0.1455 0.8988 0.7119  1 Se 2.27
Se 0.8601 0.2423 0.8715  1 Se 2.27

Results
- Electronic total energy: -4.105 eV per atom
- Size of the total moment: 0.7994 μB/atom
- Volume: 259.89 Å³/cell

***

Entry 3:
Computed, not measured: a relaxed structure of Fe2SnCl6 at the PBE level of DFT.

Unit cell a=6.1097 b=6.1112 c=7.0546 alpha=103.43 beta=103.64 gamma=109.28
Last column: nearest neighbours and their distance in Å.
Fractional coordinates of all 9 atoms:
Cl 0.3323 0.2831 0.0509  2 Fe 2.39-2.44
Cl 0.6888 0.9272 0.0509  2 Fe 2.39-2.44
Cl 0.9358 0.5300 0.2719  2 Fe 2.41
Cl 0.7673 0.9938 0.6042  1 Fe 2.39, 1 Sn 2.67
Cl 0.3975 0.3635 0.6044  1 Fe 2.39, 1 Sn 2.67
Cl 0.0125 0.6078 0.8410  2 Fe 2.36
Fe 0.9233 0.2649 0.9546  5 Cl 2.36-2.44, 1 Fe 2.53
Fe 0.6698 0.5183 0.9547  5 Cl 2.36-2.44, 1 Fe 2.53
Sn 0.3436 0.9395 0.6713  2 Cl 2.67

Results
- Electronic total energy: -4.247 eV per atom
- ΔE to the lowest computed polymorph: 44 meV per atom
- Size of the total moment: 0.8891 μB/atom
- Volume: 227.40 Å³/cell

***

Entry 4:
Computed, not measured: a relaxed structure of FeSnCl4 at the PBE level of DFT.

Unit cell a=3.6924 b=3.8436 c=12.1370 alpha=99.16 beta=98.12 gamma=90.34
Last column: nearest neighbours and their distance in Å.
Fractional coordinates of all 6 atoms:
Cl 0.3691 0.8341 0.1421  2 Fe 2.30
Cl 0.0376 0.4473 0.3940  2 Sn 2.72-2.76
Cl 0.1674 0.5904 0.6720  2 Sn 2.72-2.76
Cl 0.7657 0.2227 0.9207  2 Fe 2.29
Fe 0.3192 0.2803 0.0354  4 Cl 2.29-2.30
Sn 0.6112 0.8239 0.5328  4 Cl 2.72-2.76

Results
- Electronic total energy: -4.067 eV per atom
- ΔE to the lowest computed polymorph: 14 meV per atom
- Size of the total moment: 0.6682 μB/atom
- Volume: 168.27 Å³/cell

***

> Which of these has the lowest size of the total moment?

FeSe6Cl2